1.
## SiAs3Ru (PBE)

Data for a relaxed SiAs3Ru crystal.

Cell lengths 4.6223, 4.6223, 4.6223 Å; angles 90.00, 90.00, 90.00 degrees
Space group Pm-3m (No. 221)
Asymmetric unit:
Si 0.0000 0.0000 0.0000
As 0.0000 0.0000 0.5000
Ru 0.5000 0.5000 0.5000

Computed properties:
ΔE to the lowest computed polymorph in meV/atom: 330
V in Å³/atom: 19.8
Spin magnetization in μB/cell: 0.84
Raw formation energy in eV/atom: 1.0841
Calculated density in g/cm³: 5.95


2.
## SnSb2H (PBE)

Data for a relaxed SnSb2H crystal.

Cell lengths 6.2238, 6.2238, 10.2318 Å; angles 90.00, 90.00, 90.00 degrees
Space group I-42d (No. 122)
Asymmetric unit:
Sn 0.0000 0.0000 0.0000
Sb 0.1514 0.2500 0.6250
H 0.0000 0.0000 0.5000

Computed properties:
ΔE to the lowest computed polymorph in meV/atom: 189
V in Å³/atom: 24.8
Spin magnetization in μB/cell: 0.00
Calculated density in g/cm³: 6.09


The highest spin magnetization belongs to which entry? SiAs3Ru